ThSc2InHg4: relaxed, PBE-GGA.

Geometry as extended XYZ:
```
8
Lattice="4.8929 0.0000 0.0000 2.4465 4.2374 0.0000 2.4465 1.4125 9.4097" Properties=species:S:1:pos:R:3 pbc="T T T"
Th 0.0000 0.0000 0.0000
Sc 7.3394 4.2374 6.6696
Sc 2.4465 1.4125 2.7400
In 4.8929 2.8249 4.7048
Hg 4.8929 2.8249 7.9128
Hg 7.3394 4.2374 3.4404
Hg 2.4465 1.4125 5.9692
Hg 4.8929 2.8249 1.4969
```

Summary:
* E_tot: -3.26 eV/atom
* symmetry: R-3m
* energy of formation from the pure elements: -2.04 eV per formula unit